one) Here is HfBe4 after structural relaxation from Alexandria via LeMat-Bulk. Energies are from PBE-GGA.

Calculated values
Magnetic moment in μB/cell: 0.00
V in Å³ per atom: 20.20
Fermi-level density of states in states/eV/cell: 7.56
SG: Pm-3m

Lattice parameters (Å, degrees): 4.657 4.657 4.657 90.00 90.00 90.00
Fractional positions:
Be  0.000  0.000  0.000
Be  0.500  0.000  0.500
Be  0.000  0.500  0.500
Be  0.500  0.500  0.000
Hf  0.500  0.500  0.500

***

two) Here is HfBe4 after structural relaxation from Alexandria via LeMat-Bulk. Energies are from PBE-GGA.

Calculated values
Magnetic moment in μB/cell: 0.00
V in Å³ per atom: 10.99
Fermi-level density of states in states/eV/cell: 7.89
SG: I-43m

Lattice parameters (Å, degrees): 6.585 6.585 6.585 109.47 109.47 109.47
Fractional positions:
Hf  0.552  0.000  0.000
Hf  0.000  0.552  0.000
Hf  0.448  0.448  0.448
Hf  0.000  0.000  0.552
Be  0.187  0.000  0.000
Be  0.000  0.187  0.000
Be  0.813  0.813  0.813
Be  0.000  0.000  0.187
Be  0.352  0.000  0.352
Be  0.648  0.000  0.648
Be  0.000  0.648  0.648
Be  0.000  0.352  0.352
Be  0.352  0.352  0.000
Be  0.648  0.648  0.000
Be  0.250  0.500  0.750
Be  0.750  0.500  0.250
Be  0.500  0.250  0.750
Be  0.500  0.750  0.250
Be  0.750  0.250  0.500
Be  0.250  0.750  0.500

***

Short version: two), one), most stable first.

***

one) Here is HfBeHg3 after structural relaxation from Alexandria via LeMat-Bulk. Energies are from PBE-GGA.

Calculated values
Magnetic moment in μB/cell: 0.00
V in Å³ per atom: 20.31
Fermi-level density of states in states/eV/cell: 3.63
SG: Pm-3m

Lattice parameters (Å, degrees): 4.666 4.666 4.666 90.00 90.00 90.00
Fractional positions:
Be  0.000  0.000  0.000
Hf  0.500  0.500  0.500
Hg  0.000  0.500  0.000
Hg  0.000  0.000  0.500
Hg  0.500  0.000  0.000

***

two) Here is HfBeHg3 after structural relaxation from Alexandria via LeMat-Bulk. Energies are from PBE-GGA.

Calculated values
Magnetic moment in μB/cell: 0.00
V in Å³ per atom: 35.29
Fermi-level density of states in states/eV/cell: 8.44
SG: Pm-3m

Lattice parameters (Å, degrees): 5.609 5.609 5.609 90.00 90.00 90.00
Fractional positions:
Be  0.500  0.500  0.500
Hf  0.000  0.000  0.000
Hg  0.000  0.500  0.000
Hg  0.000  0.000  0.500
Hg  0.500  0.000  0.000

***

Short version: one), two), most stable first.

***

one) Here is HfBe3Hg after structural relaxation from Alexandria via LeMat-Bulk. Energies are from PBE-GGA.

Calculated values
Magnetic moment in μB/cell: 0.85
V in Å³ per atom: 22.16
Fermi-level density of states in states/eV/cell: 4.97
SG: Pm-3m

Lattice parameters (Å, degrees): 4.803 4.803 4.803 90.00 90.00 90.00
Fractional positions:
Be  0.000  0.500  0.000
Be  0.000  0.000  0.500
Be  0.500  0.000  0.000
Hf  0.000  0.000  0.000
Hg  0.500  0.500  0.500

***

two) Here is HfBe3Hg after structural relaxation from Alexandria via LeMat-Bulk. Energies are from PBE-GGA.

Calculated values
Magnetic moment in μB/cell: 0.00
V in Å³ per atom: 16.22
Fermi-level density of states in states/eV/cell: 2.23
SG: Pm-3m

Lattice parameters (Å, degrees): 4.328 4.328 4.328 90.00 90.00 90.00
Fractional positions:
Be  0.000  0.500  0.000
Be  0.000  0.000  0.500
Be  0.500  0.000  0.000
Hf  0.500  0.500  0.500
Hg  0.000  0.000  0.000

***

Short version: two), one), most stable first.